VASP calculation (PBE) on an optimized crystal structure of TiTcRhW.

Unit cell a=6.239 b=6.239 c=6.239 alpha=90.00 beta=90.00 gamma=90.00
Space group F-43m (No. 216)
One atom of each set of equivalent atoms:
Ti 0.000 0.000 0.000
Tc 0.250 0.250 0.750
Rh 0.250 0.250 0.250
W 0.000 0.000 0.500

Results
**ρ**: 11.83 g/cm³
**ΔE_f**: -0.2578 eV per atom